# 1
Material: NiAg2Ru
Method: DFT, SCAN
State: single point on PBEsol structure

It has space group I4/mmm (No. 139), with a = 3.766 Å, b = 3.766 Å, c = 8.108 Å, α = 90.00°, β = 90.00° and γ = 90.00°. Symmetry generates all atoms from Ni at (0.000, 0.000, 0.000), Ag at (0.000, 0.500, 0.250) and Ru at (0.000, 0.000, 0.500).

The calculation puts the relative energy among the computed polymorphs at 0.072 eV/atom. The density of states at the Fermi level comes out at 0.6874 states/eV/atom. The energy of formation is 0.547 eV/atom.

=====

# 2
Material: Li2CaPd2
Method: DFT, SCAN
State: single point on PBEsol structure

It has space group P4/mbm (No. 127), with a = 7.439 Å, b = 7.439 Å, c = 2.968 Å, α = 90.00°, β = 90.00° and γ = 90.00°. Symmetry generates all atoms from Li at (0.134, 0.366, 0.000), Ca at (0.000, 0.000, 0.500) and Pd at (0.156, 0.656, 0.500).

The calculation puts the relative energy among the computed polymorphs at 0.036 eV/atom. The density of states at the Fermi level comes out at 0.2700 states/eV/atom. The energy of formation is -0.411 eV/atom.

=====

# 3
Material: La2ReTe
Method: DFT, SCAN
State: single point on PBEsol structure

It has space group Cmmm (No. 65), with a = 6.499 Å, b = 8.127 Å, c = 3.743 Å, α = 90.00°, β = 90.00° and γ = 90.00°. Symmetry generates all atoms from La at (0.250, 0.250, 0.000), Re at (0.000, 0.000, 0.500) and Te at (0.000, 0.500, 0.500).

The density of states at the Fermi level comes out at 0.6509 states/eV/atom. The value obtained for the final energy is -391.18 eV/cell.

=====

# 4
Material: K5Sb
Method: DFT, SCAN
State: single point on PBEsol structure

It has space group Cmmm (No. 65), with a = 5.656 Å, b = 17.457 Å, c = 5.741 Å, α = 90.00°, β = 90.00° and γ = 90.00°. Symmetry generates all atoms from K at (0.000, 0.000, 0.000), K at (0.000, 0.138, 0.500), K at (0.000, 0.359, 0.000) and Sb at (0.000, 0.500, 0.500).

The density of states at the Fermi level comes out at 0.2821 states/eV/atom. The value obtained for the final energy is -160.56 eV/cell.

=====

# 5
Material: LaTaMo2
Method: DFT, SCAN
State: single point on PBEsol structure

It has space group P2/m (No. 10), with a = 2.974 Å, b = 4.350 Å, c = 6.178 Å, α = 90.00°, β = 95.30° and γ = 90.00°. Symmetry generates all atoms from La at (0.000, 0.000, 0.000), Ta at (0.500, 0.000, 0.500) and Mo at (0.184, 0.500, 0.688).

The calculation puts the relative energy among the computed polymorphs at 0.077 eV/atom. The density of states at the Fermi level comes out at 1.0667 states/eV/atom. The energy of formation is 0.454 eV/atom.

=====

# 6
Material: CaLaIn2
Method: DFT, SCAN
State: single point on PBEsol structure

It has space group Pmmm (No. 47), with a = 3.357 Å, b = 4.585 Å, c = 7.186 Å, α = 90.00°, β = 90.00° and γ = 90.00°. Symmetry generates all atoms from Ca at (0.000, 0.000, 0.000), La at (0.000, 0.000, 0.500) and In at (0.500, 0.500, 0.235).

The density of states at the Fermi level comes out at 0.5508 states/eV/atom. The energy of formation is -0.616 eV/atom.

=====

# 7
Material: LiLa3N
Method: DFT, SCAN
State: single point on PBEsol structure

It has space group Pm-3m (No. 221), with a = 5.085 Å, b = 5.085 Å, c = 5.085 Å, α = 90.00°, β = 90.00° and γ = 90.00°. Symmetry generates all atoms from Li at (0.000, 0.000, 0.000), La at (0.000, 0.500, 0.500) and N at (0.500, 0.500, 0.500).

The calculation puts the relative energy among the computed polymorphs at 0.000 eV/atom. The density of states at the Fermi level comes out at 1.0631 states/eV/atom.

=====

# 8
Material: DyErCd2
Method: DFT, SCAN
State: single point on PBEsol structure

It has space group Fm-3m (No. 225), with a = 7.318 Å, b = 7.318 Å, c = 7.318 Å, α = 90.00°, β = 90.00° and γ = 90.00°. Symmetry generates all atoms from Dy at (0.000, 0.000, 0.000), Er at (0.000, 0.000, 0.500) and Cd at (0.250, 0.250, 0.250).

The density of states at the Fermi level comes out at 0.7535 states/eV/atom. The energy of formation is -0.429 eV/atom.

=====

# 9
Material: Mg2InTc
Method: DFT, SCAN
State: single point on PBEsol structure

It has space group P4mm (No. 99), with a = 3.443 Å, b = 3.443 Å, c = 6.165 Å, α = 90.00°, β = 90.00° and γ = 90.00°. Symmetry generates all atoms from Mg at (0.000, 0.000, 0.000), Mg at (0.500, 0.500, 0.274), In at (0.500, 0.500, 0.721) and Tc at (0.000, 0.000, 0.497).

The density of states at the Fermi level comes out at 0.6977 states/eV/atom. The energy of formation is 0.132 eV/atom.

=====

# 10
Material: Si2TeSe
Method: DFT, SCAN
State: single point on PBEsol structure

It has space group Cm (No. 8), with a = 10.919 Å, b = 3.792 Å, c = 4.472 Å, α = 90.00°, β = 94.27° and γ = 90.00°. Symmetry generates all atoms from Si at (0.000, 0.000, 0.000), Si at (0.222, 0.000, 0.120), Te at (0.260, 0.500, 0.733) and Se at (0.461, 0.000, 0.323).

The calculation puts the relative energy among the computed polymorphs at 0.122 eV/atom. The density of states at the Fermi level comes out at 0.0249 states/eV/atom.

=====

# 11
Material: Ba2CaW2
Method: DFT, SCAN
State: single point on PBEsol structure

It has space group I4/mmm (No. 139), with a = 4.854 Å, b = 4.854 Å, c = 13.891 Å, α = 90.00°, β = 90.00° and γ = 90.00°. Symmetry generates all atoms from Ba at (0.000, 0.500, 0.250), Ca at (0.000, 0.000, 0.000) and W at (0.000, 0.000, 0.422).

The density of states at the Fermi level comes out at 1.0919 states/eV/atom. The energy of formation is 1.424 eV/atom.

=====

# 12
Material: CsGaS2
Method: DFT, SCAN
State: single point on PBEsol structure

It has space group I-42d (No. 122), with a = 7.222 Å, b = 7.222 Å, c = 8.482 Å, α = 90.00°, β = 90.00° and γ = 90.00°. Symmetry generates all atoms from Cs at (0.000, 0.000, 0.000), Ga at (0.000, 0.000, 0.500) and S at (0.130, 0.250, 0.625).

The density of states at the Fermi level comes out at 0.0000 states/eV/atom. The value obtained for the final energy is -311.98 eV/cell.

=====

# 13
Material: BaPt4Rh
Method: DFT, SCAN
State: single point on PBEsol structure

It has space group F-43m (No. 216), with a = 7.611 Å, b = 7.611 Å, c = 7.611 Å, α = 90.00°, β = 90.00° and γ = 90.00°. Symmetry generates all atoms from Ba at (0.000, 0.000, 0.000), Pt at (0.124, 0.124, 0.376) and Rh at (0.250, 0.250, 0.750).

The density of states at the Fermi level comes out at 0.3683 states/eV/atom. The energy of formation is -0.139 eV/atom.

=====

# 14
Material: YZr2W
Method: DFT, SCAN
State: single point on PBEsol structure

It has space group Cmmm (No. 65), with a = 3.407 Å, b = 5.063 Å, c = 10.075 Å, α = 90.00°, β = 90.00° and γ = 90.00°. Symmetry generates all atoms from Y at (0.000, 0.000, 0.000), Zr at (0.000, 0.500, 0.289) and W at (0.000, 0.000, 0.500).

The calculation puts the relative energy among the computed polymorphs at 0.000 eV/atom. The density of states at the Fermi level comes out at 1.2811 states/eV/atom. The energy of formation is 0.270 eV/atom.

=====

# 15
Material: TmSeO3F
Method: DFT, SCAN
State: single point on PBEsol structure

It has space group P2_1/c (No. 14), with a = 6.493 Å, b = 6.755 Å, c = 7.016 Å, α = 90.00°, β = 98.84° and γ = 90.00°. Symmetry generates all atoms from Tm at (0.136, 0.143, 0.324), Se at (0.357, 0.617, 0.293), O at (0.173, 0.035, 0.647), O at (0.175, 0.693, 0.784), O at (0.482, 0.190, 0.364) and F at (0.169, 0.112, 0.025).

The density of states at the Fermi level comes out at 0.0000 states/eV/atom. The value obtained for the final energy is -439.96 eV/cell.

=====

# 16
Material: KBaMo3
Method: DFT, SCAN
State: single point on PBEsol structure

It has space group Pm-3m (No. 221), with a = 5.049 Å, b = 5.049 Å, c = 5.049 Å, α = 90.00°, β = 90.00° and γ = 90.00°. Symmetry generates all atoms from K at (0.000, 0.000, 0.000), Ba at (0.500, 0.500, 0.500) and Mo at (0.000, 0.500, 0.500).

The density of states at the Fermi level comes out at 0.7635 states/eV/atom. The energy of formation is 3.068 eV/atom.

=====

# 17
Material: Zn3SnO
Method: DFT, SCAN
State: single point on PBEsol structure

It has space group Pm-3m (No. 221), with a = 4.269 Å, b = 4.269 Å, c = 4.269 Å, α = 90.00°, β = 90.00° and γ = 90.00°. Symmetry generates all atoms from Zn at (0.000, 0.000, 0.500), Sn at (0.500, 0.500, 0.500) and O at (0.000, 0.000, 0.000).

The density of states at the Fermi level comes out at 0.2782 states/eV/atom. The value obtained for the final energy is -83.40 eV/cell.

=====

# 18
Material: Cd2AgRh
Method: DFT, SCAN
State: single point on PBEsol structure

It has space group I-4m2 (No. 119), with a = 4.039 Å, b = 4.039 Å, c = 8.244 Å, α = 90.00°, β = 90.00° and γ = 90.00°. Symmetry generates all atoms from Cd at (0.000, 0.000, 0.000), Cd at (0.000, 0.500, 0.250), Ag at (0.000, 0.500, 0.750) and Rh at (0.000, 0.000, 0.500).

The calculation puts the relative energy among the computed polymorphs at 0.076 eV/atom. The density of states at the Fermi level comes out at 0.3788 states/eV/atom. The energy of formation is -0.051 eV/atom.

=====

# 19
Material: BaAs2Rh
Method: DFT, SCAN
State: single point on PBEsol structure

It has space group P2/m (No. 10), with a = 4.723 Å, b = 4.109 Å, c = 5.119 Å, α = 90.00°, β = 103.16° and γ = 90.00°. Symmetry generates all atoms from Ba at (0.000, 0.000, 0.000), As at (0.268, 0.500, 0.615) and Rh at (0.500, 0.000, 0.500).

The density of states at the Fermi level comes out at 0.6127 states/eV/atom. The energy of formation is -0.800 eV/atom.

=====

# 20
Material: TaBe2Re
Method: DFT, SCAN
State: single point on PBEsol structure

It has space group Amm2 (No. 38), with a = 3.268 Å, b = 3.188 Å, c = 8.862 Å, α = 90.00°, β = 90.00° and γ = 90.00°. Symmetry generates all atoms from Ta at (0.000, 0.000, 0.000), Be at (0.000, 0.000, 0.726), Be at (0.500, 0.000, 0.594) and Re at (0.500, 0.000, 0.309).

The calculation puts the relative energy among the computed polymorphs at 0.000 eV/atom. The density of states at the Fermi level comes out at 0.0484 states/eV/atom. The energy of formation is -0.413 eV/atom.

=====

# 21
Material: Cu2HgMo
Method: DFT, SCAN
State: single point on PBEsol structure

It has space group Cmmm (No. 65), with a = 5.859 Å, b = 7.488 Å, c = 2.658 Å, α = 90.00°, β = 90.00° and γ = 90.00°. Symmetry generates all atoms from Cu at (0.250, 0.250, 0.000), Hg at (0.000, 0.000, 0.500) and Mo at (0.000, 0.500, 0.500).

The density of states at the Fermi level comes out at 0.6280 states/eV/atom. The energy of formation is 0.492 eV/atom.

=====

# 22
Material: CdHg
Method: DFT, SCAN
State: single point on PBEsol structure

It has space group Pbcm (No. 57), with a = 10.241 Å, b = 8.712 Å, c = 6.009 Å, α = 90.00°, β = 90.00° and γ = 90.00°. Symmetry generates all atoms from Cd at (0.007, 0.004, 0.250), Cd at (0.332, 0.534, 0.750), Cd at (0.468, 0.250, 0.000), Hg at (0.147, 0.750, 0.000), Hg at (0.188, 0.240, 0.750) and Hg at (0.354, 0.537, 0.250).

The density of states at the Fermi level comes out at 0.3405 states/eV/atom. The energy of formation is 0.016 eV/atom.

=====

# 23
Material: LiSb3Se
Method: DFT, SCAN
State: single point on PBEsol structure

It has space group Pm-3m (No. 221), with a = 5.382 Å, b = 5.382 Å, c = 5.382 Å, α = 90.00°, β = 90.00° and γ = 90.00°. Symmetry generates all atoms from Li at (0.000, 0.000, 0.000), Sb at (0.000, 0.500, 0.500) and Se at (0.500, 0.500, 0.500).

The density of states at the Fermi level comes out at 1.0024 states/eV/atom. The value obtained for the final energy is -131.61 eV/cell.

=====

# 24
Material: Tl2CdCl
Method: DFT, SCAN
State: single point on PBEsol structure

It has space group I-4m2 (No. 119), with a = 4.412 Å, b = 4.412 Å, c = 10.953 Å, α = 90.00°, β = 90.00° and γ = 90.00°. Symmetry generates all atoms from Tl at (0.000, 0.000, 0.000), Tl at (0.000, 0.500, 0.250), Cd at (0.000, 0.000, 0.500) and Cl at (0.000, 0.500, 0.750).

The calculation puts the relative energy among the computed polymorphs at 0.077 eV/atom. The density of states at the Fermi level comes out at 0.3725 states/eV/atom.

=====

# 25
Material: Mn3NiB
Method: DFT, SCAN
State: single point on PBEsol structure

It has space group Pm-3m (No. 221), with a = 3.815 Å, b = 3.815 Å, c = 3.815 Å, α = 90.00°, β = 90.00° and γ = 90.00°. Symmetry generates all atoms from Mn at (0.000, 0.000, 0.500), Ni at (0.500, 0.500, 0.500) and B at (0.000, 0.000, 0.000).

The density of states at the Fermi level comes out at 1.0001 states/eV/atom. The energy of formation is 0.054 eV/atom.

=====

# 26
Material: K2SrGeC
Method: DFT, SCAN
State: single point on PBEsol structure

It has space group P4/mmm (No. 123), with a = 5.444 Å, b = 5.444 Å, c = 5.342 Å, α = 90.00°, β = 90.00° and γ = 90.00°. Symmetry generates all atoms from K at (0.000, 0.500, 0.000), Sr at (0.000, 0.000, 0.500), Ge at (0.500, 0.500, 0.500) and C at (0.000, 0.000, 0.000).

The density of states at the Fermi level comes out at 0.4222 states/eV/atom. The energy of formation is 0.717 eV/atom.

=====

# 27
Material: Y2AlIr
Method: DFT, SCAN
State: single point on PBEsol structure

It has space group Amm2 (No. 38), with a = 4.209 Å, b = 3.962 Å, c = 10.695 Å, α = 90.00°, β = 90.00° and γ = 90.00°. Symmetry generates all atoms from Y at (0.000, 0.000, 0.000), Y at (0.500, 0.000, 0.285), Al at (0.000, 0.000, 0.706) and Ir at (0.500, 0.000, 0.572).

The density of states at the Fermi level comes out at 0.7143 states/eV/atom. The energy of formation is -0.791 eV/atom.

=====

| no. | calculated volume (Å³/f.u.) |
| --- | --- |
| 1 | 57.5 |
| 2 | 82.1 |
| 3 | 98.9 |
| 4 | 283.4 |
| 5 | 79.6 |
| 6 | 110.6 |
| 7 | 131.5 |
| 8 | 98.0 |
| 9 | 73.1 |
| 10 | 92.3 |
| 11 | 163.7 |
| 12 | 110.6 |
| 13 | 110.2 |
| 14 | 86.9 |
| 15 | 76.0 |
| 16 | 128.7 |
| 17 | 77.8 |
| 18 | 67.3 |
| 19 | 96.7 |
| 20 | 46.2 |
| 21 | 58.3 |
| 22 | 44.7 |
| 23 | 155.9 |
| 24 | 106.6 |
| 25 | 55.5 |
| 26 | 158.3 |
| 27 | 89.2 |